First-principles (SCAN) data for a crystal of Cd6Ag7 relaxed with PBEsol, as listed in Alexandria via LeMat-Bulk.

Output
Energy of formation from the pure elements in eV per atom: -0.006
DOS(E_F) in states/eV per cell: 13.68

```
data_Cd6Ag7
_cell_length_a 5.5252
_cell_length_b 5.5252
_cell_length_c 27.9306
_cell_angle_alpha 90.00
_cell_angle_beta 90.00
_cell_angle_gamma 120.00
_symmetry_space_group_name_H-M 'R -3 m'
_symmetry_Int_Tables_number 166
_symmetry_space_group_name_Hall '-R 3 2"'
loop_
_atom_site_label
_atom_site_type_symbol
_atom_site_fract_x
_atom_site_fract_y
_atom_site_fract_z
Cd1 Cd 0.0000 0.0000 0.0506
Cd2 Cd 0.0000 0.0000 0.1559
Cd3 Cd 0.0000 0.0000 0.3336
Ag1 Ag 0.0000 0.0000 0.5000
Ag2 Ag 0.0028 0.5014 0.9133
```

First-principles (SCAN) data for a crystal of Cd5Ag relaxed with PBEsol, as listed in Alexandria via LeMat-Bulk.

Output
Energy of formation from the pure elements in eV per atom: -0.025
DOS(E_F) in states/eV per cell: 2.57

```
data_Cd5Ag
_cell_length_a 4.711
_cell_length_b 3.103
_cell_length_c 16.038
_cell_angle_alpha 90.00
_cell_angle_beta 90.00
_cell_angle_gamma 90.00
_symmetry_space_group_name_H-M 'A m m 2'
_symmetry_Int_Tables_number 38
loop_
_symmetry_equiv_pos_as_xyz
'x,y,z'
'-x,-y,z'
'-x,y,z'
'x,-y,z'
'x,y+1/2,z+1/2'
'-x,-y+1/2,z+1/2'
'-x,y+1/2,z+1/2'
'x,-y+1/2,z+1/2'
loop_
_atom_site_label
_atom_site_type_symbol
_atom_site_fract_x
_atom_site_fract_y
_atom_site_fract_z
Cd1 Cd 0.000 0.000 0.000
Cd2 Cd 0.000 0.000 0.323
Cd3 Cd 0.500 0.000 0.214
Cd4 Cd 0.500 0.000 0.554
Cd5 Cd 0.500 0.000 0.885
Ag1 Ag 0.000 0.000 0.662
```

First-principles (SCAN) data for a crystal of CdAg3 relaxed with PBEsol, as listed in Alexandria via LeMat-Bulk.

Output
Energy of formation from the pure elements in eV per atom: -0.049
DOS(E_F) in states/eV per cell: 1.15

```
data_CdAg3
_cell_length_a 4.098
_cell_length_b 4.098
_cell_length_c 4.098
_cell_angle_alpha 90.00
_cell_angle_beta 90.00
_cell_angle_gamma 90.00
_symmetry_space_group_name_H-M 'P m -3 m'
_symmetry_Int_Tables_number 221
_symmetry_space_group_name_Hall '-P 4 2 3'
loop_
_atom_site_label
_atom_site_type_symbol
_atom_site_fract_x
_atom_site_fract_y
_atom_site_fract_z
Cd1 Cd 0.000 0.000 0.000
Ag1 Ag 0.000 0.500 0.500
```